(1)
Density functional theory data (PBE) for Dy2Tl3CuSe6 after structural relaxation.

## Properties
E_tot   -0.1594 Ha/atom
Theoretical density   7.46 g/cm3

```
data_Dy2Tl3CuSe6
_symmetry_space_group_name_H-M 'C 1 2/m 1'
_symmetry_Int_Tables_number 12
_cell_length_a 7.2358
_cell_length_b 12.1438
_cell_length_c 7.9608
_cell_angle_alpha 90.00
_cell_angle_beta 110.01
_cell_angle_gamma 90.00
loop_
_symmetry_equiv_pos_as_xyz
'x,y,z'
'-x,-y,-z'
'-x,y,-z'
'x,-y,z'
'x+1/2,y+1/2,z'
'-x+1/2,-y+1/2,-z'
'-x+1/2,y+1/2,-z'
'x+1/2,-y+1/2,z'
loop_
_atom_site_label
_atom_site_type_symbol
_atom_site_fract_x
_atom_site_fract_y
_atom_site_fract_z
Dy1 Dy 0.0000 0.1622 0.0000
Tl1 Tl 0.0000 0.0000 0.5000
Tl2 Tl 0.0000 0.3182 0.5000
Cu1 Cu 0.0000 0.5000 0.0000
Se1 Se 0.2154 0.3490 0.1880
Se2 Se 0.2359 0.0000 0.2368
```

=====

(2)
Density functional theory data (PBE) for PmYNiAu after structural relaxation.

## Properties
Energy above the lowest structure with this stoichiometry   0 meV/atom
Calculated formation energy   -2.36 eV per formula unit
Theoretical density   8.73 g/cm3

```
data_PmYNiAu
_symmetry_space_group_name_H-M 'A m m 2'
_symmetry_Int_Tables_number 38
_cell_length_a 4.5956
_cell_length_b 3.8524
_cell_length_c 10.5181
_cell_angle_alpha 90.00
_cell_angle_beta 90.00
_cell_angle_gamma 90.00
loop_
_symmetry_equiv_pos_as_xyz
'x,y,z'
'-x,-y,z'
'-x,y,z'
'x,-y,z'
'x,y+1/2,z+1/2'
'-x,-y+1/2,z+1/2'
'-x,y+1/2,z+1/2'
'x,-y+1/2,z+1/2'
loop_
_atom_site_label
_atom_site_type_symbol
_atom_site_fract_x
_atom_site_fract_y
_atom_site_fract_z
Pm1 Pm 0.0000 0.0000 0.0000
Y1 Y 0.5000 0.0000 0.7197
Ni1 Ni 0.0000 0.0000 0.2771
Au1 Au 0.5000 0.0000 0.4341
```

=====

(3)
Density functional theory data (PBE) for Be2PF after structural relaxation.

## Properties
Energy above the lowest structure with this stoichiometry   25 meV/atom
Theoretical density   2.16 g/cm3

```
data_Be2PF
_symmetry_space_group_name_H-M 'P -6 m 2'
_symmetry_Int_Tables_number 187
_symmetry_space_group_name_Hall 'P -6 2'
_cell_length_a 3.4298
_cell_length_b 3.4298
_cell_length_c 5.1369
_cell_angle_alpha 90.00
_cell_angle_beta 90.00
_cell_angle_gamma 120.00
loop_
_atom_site_label
_atom_site_type_symbol
_atom_site_fract_x
_atom_site_fract_y
_atom_site_fract_z
Be1 Be 0.0000 0.0000 0.1993
P1 P 0.6667 0.3333 0.0000
F1 F 0.0000 0.0000 0.5000
```

=====

(4)
Density functional theory data (PBE) for RbGe2I7 after structural relaxation.

## Properties
E_tot   -0.0910 Ha/atom
Theoretical density   4.06 g/cm3

```
data_RbGe2I7
_symmetry_space_group_name_H-M 'C m m m'
_symmetry_Int_Tables_number 65
_symmetry_space_group_name_Hall '-C 2 2'
_cell_length_a 8.9487
_cell_length_b 21.9824
_cell_length_c 4.6581
_cell_angle_alpha 90.00
_cell_angle_beta 90.00
_cell_angle_gamma 90.00
loop_
_atom_site_label
_atom_site_type_symbol
_atom_site_fract_x
_atom_site_fract_y
_atom_site_fract_z
Rb1 Rb 0.0000 0.0000 0.0000
Ge1 Ge 0.0000 0.3694 0.5000
I1 I 0.0000 0.2931 0.0000
I2 I 0.0000 0.5000 0.5000
I3 I 0.1829 0.1257 0.5000
```